[1]
This record from Alexandria describes a relaxed structure of CuSnCl. The functional is PBE-GGA.

Space-group type: Amm2
ΔE to the lowest computed polymorph, meV/atom: 112
DFT total energy, eV for the cell shown: -41.8
E_form (uncorrected), eV/atom: -0.171

Unit cell a=12.093 b=3.265 c=7.141 alpha=90.00 beta=90.00 gamma=90.00
Fractional positions:
Cu 0.000 0.000 0.000
Cu 0.000 0.500 0.500
Cu 0.500 0.000 0.003
Cu 0.500 0.500 0.503
Sn 0.142 0.000 0.701
Sn 0.142 0.500 0.201
Sn 0.858 0.000 0.701
Sn 0.858 0.500 0.201
Cl 0.364 0.000 0.505
Cl 0.364 0.500 0.005
Cl 0.636 0.000 0.505
Cl 0.636 0.500 0.005



[2]
This record from Alexandria describes a relaxed structure of CuSnCl. The functional is PBE-GGA.

Space-group type: P1
ΔE to the lowest computed polymorph, meV/atom: 32
DFT total energy, eV for the cell shown: -21.4
E_form (uncorrected), eV/atom: -0.250

Unit cell a=5.039 b=5.152 c=5.918 alpha=90.11 beta=112.59 gamma=93.68
Fractional positions:
Cu 0.000 0.000 0.000
Cu 0.260 0.423 0.669
Sn 0.431 0.906 0.876
Sn 0.839 0.481 0.920
Cl 0.320 0.071 0.420
Cl 0.821 0.538 0.383



[3]
This record from Alexandria describes a relaxed structure of CuSnCl. The functional is PBE-GGA.

Space-group type: P-1
ΔE to the lowest computed polymorph, meV/atom: 52
DFT total energy, eV for the cell shown: -21.3
E_form (uncorrected), eV/atom: -0.230

Unit cell a=3.520 b=5.697 c=7.309 alpha=92.92 beta=90.00 gamma=107.99
Fractional positions:
Cu 0.076 0.155 0.133
Cu 0.924 0.845 0.867
Sn 0.355 0.712 0.144
Sn 0.645 0.288 0.856
Cl 0.373 0.743 0.658
Cl 0.627 0.257 0.342



[4]
This record from Alexandria describes a relaxed structure of CuSn3Cl7. The functional is PBE-GGA.

Space-group type: C222_1
DFT total energy, eV for the cell shown: -76.8
E_form (uncorrected), eV/atom: -0.850

Unit cell a=8.583 b=8.583 c=9.734 alpha=90.00 beta=90.00 gamma=106.86
Fractional positions:
Cu 0.119 0.119 0.000
Cu 0.881 0.881 0.500
Sn 0.006 0.591 0.701
Sn 0.409 0.994 0.799
Sn 0.427 0.427 0.500
Sn 0.573 0.573 0.000
Sn 0.591 0.006 0.299
Sn 0.994 0.409 0.201
Cl 0.002 0.301 0.944
Cl 0.075 0.925 0.750
Cl 0.114 0.356 0.548
Cl 0.301 0.002 0.056
Cl 0.328 0.672 0.750
Cl 0.356 0.114 0.452
Cl 0.398 0.602 0.250
Cl 0.602 0.398 0.750
Cl 0.644 0.886 0.952
Cl 0.672 0.328 0.250
Cl 0.699 0.998 0.556
Cl 0.886 0.644 0.048
Cl 0.925 0.075 0.250
Cl 0.998 0.699 0.444



[5]
This record from Alexandria describes a relaxed structure of Cu2SnCl6. The functional is PBE-GGA.

Space-group type: C2/c
ΔE to the lowest computed polymorph, meV/atom: 50
DFT total energy, eV for the cell shown: -58.1
E_form (uncorrected), eV/atom: -0.644

Unit cell a=8.467 b=8.467 c=6.774 alpha=97.83 beta=97.83 gamma=84.81
Fractional positions:
Cu 0.099 0.249 0.318
Cu 0.249 0.099 0.818
Cu 0.751 0.901 0.182
Cu 0.901 0.751 0.682
Sn 0.390 0.610 0.750
Sn 0.610 0.390 0.250
Cl 0.051 0.214 0.624
Cl 0.119 0.633 0.865
Cl 0.214 0.051 0.124
Cl 0.301 0.446 0.393
Cl 0.367 0.881 0.635
Cl 0.446 0.301 0.893
Cl 0.554 0.699 0.107
Cl 0.633 0.119 0.365
Cl 0.699 0.554 0.607
Cl 0.786 0.949 0.876
Cl 0.881 0.367 0.135
Cl 0.949 0.786 0.376



[6]
This record from Alexandria describes a relaxed structure of Cu2SnCl4. The functional is PBE-GGA.

Space-group type: I4/m
DFT total energy, eV for the cell shown: -46.9
E_form (uncorrected), eV/atom: -0.556

Unit cell a=7.563 b=7.563 c=6.342 alpha=90.00 beta=90.00 gamma=90.00
Fractional positions:
Cu 0.000 0.500 0.250
Cu 0.000 0.500 0.750
Cu 0.500 0.000 0.250
Cu 0.500 0.000 0.750
Sn 0.000 0.000 0.000
Sn 0.500 0.500 0.500
Cl 0.159 0.334 0.000
Cl 0.166 0.659 0.500
Cl 0.334 0.841 0.000
Cl 0.341 0.166 0.500
Cl 0.659 0.834 0.500
Cl 0.666 0.159 0.000
Cl 0.834 0.341 0.500
Cl 0.841 0.666 0.000



[7]
This record from Alexandria describes a relaxed structure of Cu3SnCl. The functional is PBE-GGA.

Space-group type: Pm-3m
ΔE to the lowest computed polymorph, meV/atom: 91
DFT total energy, eV for the cell shown: -14.6
E_form (uncorrected), eV/atom: 0.701

Unit cell a=4.947 b=4.947 c=4.947 alpha=90.00 beta=90.00 gamma=90.00
Fractional positions:
Cu 0.000 0.000 0.500
Cu 0.000 0.500 0.000
Cu 0.500 0.000 0.000
Sn 0.000 0.000 0.000
Cl 0.500 0.500 0.500



[8]
This record from Alexandria describes a relaxed structure of CuSn2Cl2. The functional is PBE-GGA.

Space-group type: P4/mbm
DFT total energy, eV for the cell shown: -34.9
E_form (uncorrected), eV/atom: -0.332

Unit cell a=7.317 b=7.317 c=5.010 alpha=90.00 beta=90.00 gamma=90.00
Fractional positions:
Cu 0.000 0.000 0.000
Cu 0.500 0.500 0.000
Sn 0.225 0.275 0.000
Sn 0.275 0.775 0.000
Sn 0.725 0.225 0.000
Sn 0.775 0.725 0.000
Cl 0.170 0.670 0.500
Cl 0.330 0.170 0.500
Cl 0.670 0.830 0.500
Cl 0.830 0.330 0.500